# 1
Compound: NaNb
Source: Alexandria
Functional: PBE
Structure: optimized geometry

Lattice parameters (Å, degrees): 9.7500 9.7500 9.7500 90.00 90.00 90.00
Fractional positions:
Na (0.2082, 0.2082, 0.2082)
Na (0.2082, 0.7918, 0.7918)
Na (0.7918, 0.2082, 0.7918)
Na (0.7918, 0.7918, 0.2082)
Na (0.7082, 0.7082, 0.7082)
Na (0.7082, 0.2918, 0.2918)
Na (0.2918, 0.7082, 0.2918)
Na (0.2918, 0.2918, 0.7082)
Nb (0.4083, 0.4083, 0.4083)
Nb (0.4083, 0.5917, 0.5917)
Nb (0.5917, 0.4083, 0.5917)
Nb (0.5917, 0.5917, 0.4083)
Nb (0.9083, 0.9083, 0.9083)
Nb (0.9083, 0.0917, 0.0917)
Nb (0.0917, 0.9083, 0.0917)
Nb (0.0917, 0.0917, 0.9083)

Summary:
The value obtained for the formation enthalpy at 0 K is 1.374 eV per atom. As for the calculated volume: 57.9 A^3/atom. The total energy comes out at -4.320 eV/atom. As for the total magnetization: 0.00 μB per atom. As for the space group: I-43m.

---

# 2
Compound: NaNb3
Source: Alexandria
Functional: PBE
Structure: optimized geometry

Lattice parameters (Å, degrees): 4.7509 4.7509 4.7509 60.00 60.00 60.00
Fractional positions:
Na (0.0000, 0.0000, 0.0000)
Nb (0.7500, 0.7500, 0.7500)
Nb (0.2500, 0.2500, 0.2500)
Nb (0.5000, 0.5000, 0.5000)

Summary:
The value obtained for the formation enthalpy at 0 K is 0.721 eV per atom. As for the calculated volume: 19.0 A^3/atom. The total energy comes out at -7.161 eV/atom. As for the total magnetization: 0.00 μB per atom. As for the space group: Fm-3m.

---

# 3
Compound: NaNb
Source: Alexandria
Functional: PBE
Structure: optimized geometry

Lattice parameters (Å, degrees): 7.0717 7.0717 7.0717 90.00 90.00 90.00
Fractional positions:
Na (0.2500, 0.2500, 0.2500)
Na (0.2500, 0.7500, 0.7500)
Na (0.7500, 0.2500, 0.7500)
Na (0.7500, 0.7500, 0.2500)
Nb (0.0000, 0.0000, 0.0000)
Nb (0.0000, 0.5000, 0.5000)
Nb (0.5000, 0.0000, 0.5000)
Nb (0.5000, 0.5000, 0.0000)

Summary:
The value obtained for the formation enthalpy at 0 K is 2.886 eV per atom. As for the calculated volume: 44.2 A^3/atom. The total energy comes out at -2.809 eV/atom. As for the total magnetization: 2.22 μB per atom. As for the space group: F-43m.

---

# 4
Compound: NaNb
Source: Alexandria
Functional: PBE
Structure: optimized geometry

Lattice parameters (Å, degrees): 5.7485 15.2437 9.1094 90.00 90.00 90.00
Fractional positions:
Na (0.0000, 0.0000, 0.6588)
Na (0.0000, 0.0000, 0.3412)
Na (0.2500, 0.7500, 0.5912)
Na (0.2500, 0.7500, 0.9088)
Na (0.0000, 0.5000, 0.1588)
Na (0.0000, 0.5000, 0.8412)
Na (0.2500, 0.2500, 0.0912)
Na (0.2500, 0.2500, 0.4088)
Na (0.5000, 0.0000, 0.1588)
Na (0.5000, 0.0000, 0.8412)
Na (0.7500, 0.7500, 0.0912)
Na (0.7500, 0.7500, 0.4088)
Na (0.5000, 0.5000, 0.6588)
Na (0.5000, 0.5000, 0.3412)
Na (0.7500, 0.2500, 0.5912)
Na (0.7500, 0.2500, 0.9088)
Nb (0.0000, 0.0735, 0.0000)
Nb (0.0000, 0.9265, 0.0000)
Nb (0.2500, 0.6765, 0.2500)
Nb (0.2500, 0.8235, 0.2500)
Nb (0.0000, 0.5735, 0.5000)
Nb (0.0000, 0.4265, 0.5000)
Nb (0.2500, 0.1765, 0.7500)
Nb (0.2500, 0.3235, 0.7500)
Nb (0.5000, 0.0735, 0.5000)
Nb (0.5000, 0.9265, 0.5000)
Nb (0.7500, 0.6765, 0.7500)
Nb (0.7500, 0.8235, 0.7500)
Nb (0.5000, 0.5735, 0.0000)
Nb (0.5000, 0.4265, 0.0000)
Nb (0.7500, 0.1765, 0.2500)
Nb (0.7500, 0.3235, 0.2500)

Summary:
The value obtained for the formation enthalpy at 0 K is 1.140 eV per atom. As for the calculated volume: 24.9 A^3/atom. The total energy comes out at -4.554 eV/atom. As for the total magnetization: 0.00 μB per atom. As for the space group: Fddd.

---

# 5
Compound: NaNb
Source: Alexandria
Functional: PBE
Structure: optimized geometry

Lattice parameters (Å, degrees): 8.9087 8.9087 8.9087 90.00 90.00 90.00
Fractional positions:
Na (0.2500, 0.0000, 0.5000)
Na (0.7500, 0.0000, 0.5000)
Na (0.0000, 0.5000, 0.2500)
Na (0.0000, 0.5000, 0.7500)
Na (0.5000, 0.2500, 0.0000)
Na (0.5000, 0.7500, 0.0000)
Nb (0.2500, 0.5000, 0.0000)
Nb (0.7500, 0.5000, 0.0000)
Nb (0.5000, 0.0000, 0.2500)
Nb (0.5000, 0.0000, 0.7500)
Nb (0.0000, 0.2500, 0.5000)
Nb (0.0000, 0.7500, 0.5000)

Summary:
The value obtained for the formation enthalpy at 0 K is 2.884 eV per atom. As for the calculated volume: 58.9 A^3/atom. The total energy comes out at -2.811 eV/atom. As for the total magnetization: 2.36 μB per atom. As for the space group: Pm-3n.

---

# 6
Compound: Na3Nd3NbO8
Source: Alexandria
Functional: PBE
Structure: optimized geometry

Lattice parameters (Å, degrees): 6.9510 6.9508 6.9486 120.02 90.00 120.00
Fractional positions:
Na (0.0000, 0.0000, 0.0000)
Na (0.0000, 0.5000, 0.0000)
Na (0.5000, 0.5000, 0.0000)
Nd (0.5000, 0.0000, 0.5000)
Nd (0.5000, 0.5000, 0.5000)
Nd (0.0000, 0.5000, 0.5000)
Nb (0.0000, 0.0000, 0.5000)
O (0.2561, 0.5123, 0.2685)
O (0.7439, 0.4877, 0.7315)
O (0.7885, 0.5771, 0.3007)
O (0.2115, 0.4229, 0.6993)
O (0.7885, 0.0121, 0.3007)
O (0.2115, 0.9879, 0.6993)
O (0.2236, 0.0121, 0.3007)
O (0.7764, 0.9879, 0.6993)

Summary:
As for the calculated volume: 15.8 A^3/atom. The uncorrected formation energy is -2.5603 eV per atom. The total energy comes out at -7.093 eV/atom. As for the total magnetization: 0.01 μB per atom. As for the space group: R-3m.

---

# 7
Compound: NaNdNb2O6
Source: Alexandria
Functional: PBE
Structure: optimized geometry

Lattice parameters (Å, degrees): 5.7217 5.7217 5.7217 60.00 60.00 60.00
Fractional positions:
Na (0.0000, 0.0000, 0.0000)
Nd (0.5000, 0.5000, 0.5000)
Nb (0.2500, 0.2500, 0.2500)
Nb (0.7500, 0.7500, 0.7500)
O (0.5000, 0.0000, 0.0000)
O (0.0000, 0.5000, 0.5000)
O (0.5000, 0.0000, 0.5000)
O (0.0000, 0.5000, 0.0000)
O (0.0000, 0.0000, 0.5000)
O (0.5000, 0.5000, 0.0000)

Summary:
As for the calculated volume: 13.2 A^3/atom. The uncorrected formation energy is -2.5346 eV per atom. The total energy comes out at -8.132 eV/atom. As for the total magnetization: 0.00 μB per atom. As for the space group: Fm-3m.

---

# 8
Compound: Na3NdTi2Nb2O12
Source: Alexandria
Functional: PBE
Structure: optimized geometry

Lattice parameters (Å, degrees): 5.5226 5.6100 7.8292 90.00 89.90 90.26
Fractional positions:
Na (0.5085, 0.5044, 0.7473)
Na (0.9934, 0.9916, 0.7523)
Na (0.5113, 0.4624, 0.2505)
Nd (0.9934, 0.9521, 0.2507)
Ti (0.4958, 0.9796, 0.0070)
Ti (0.0125, 0.4778, 0.4981)
Nb (0.4983, 0.9885, 0.5119)
Nb (0.0099, 0.4804, 0.9876)
O (0.5578, 0.9871, 0.7534)
O (0.9336, 0.5082, 0.7463)
O (0.4240, 0.0318, 0.2466)
O (0.0640, 0.5224, 0.2523)
O (0.2043, 0.8064, 0.9821)
O (0.2853, 0.3006, 0.5313)
O (0.7938, 0.2205, 0.4614)
O (0.7147, 0.7354, 0.0459)
O (0.7925, 0.2161, 0.0388)
O (0.7159, 0.7335, 0.4532)
O (0.1998, 0.8043, 0.5197)
O (0.2914, 0.2969, 0.9638)

Summary:
As for the calculated volume: 12.1 A^3/atom. The uncorrected formation energy is -2.7091 eV per atom. The total energy comes out at -7.917 eV/atom. As for the total magnetization: 0.00 μB per atom. As for the space group: P1.

---

# 9
Compound: NaNb2Ni2
Source: Alexandria
Functional: PBE
Structure: optimized geometry

Lattice parameters (Å, degrees): 7.7335 7.7335 2.7091 90.00 90.00 90.00
Fractional positions:
Ni (0.3672, 0.8672, 0.0000)
Ni (0.8672, 0.6328, 0.0000)
Ni (0.6328, 0.1328, 0.0000)
Ni (0.1328, 0.3672, 0.0000)
Nb (0.1576, 0.6576, 0.5000)
Nb (0.6576, 0.8424, 0.5000)
Nb (0.8424, 0.3424, 0.5000)
Nb (0.3424, 0.1576, 0.5000)
Na (0.0000, 0.0000, 0.0000)
Na (0.5000, 0.5000, 0.0000)

Summary:
The value obtained for the formation enthalpy at 0 K is 0.149 eV per atom. As for the calculated volume: 16.2 A^3/atom. The total energy comes out at -6.455 eV/atom. As for the total magnetization: 0.00 μB per atom. As for the space group: P4/mbm.

---

# 10
Compound: NaNb3Ni
Source: Alexandria
Functional: PBE
Structure: optimized geometry

Lattice parameters (Å, degrees): 4.6209 4.6209 4.6209 90.00 90.00 90.00
Fractional positions:
Ni (0.5000, 0.5000, 0.5000)
Nb (0.0000, 0.5000, 0.0000)
Nb (0.0000, 0.0000, 0.5000)
Nb (0.5000, 0.0000, 0.0000)
Na (0.0000, 0.0000, 0.0000)

Summary:
The value obtained for the formation enthalpy at 0 K is 2.318 eV per atom. As for the calculated volume: 19.7 A^3/atom. The total energy comes out at -5.144 eV/atom. As for the total magnetization: 0.09 μB per atom. As for the space group: Pm-3m.

---

# 11
Compound: Na2NbNi
Source: Alexandria
Functional: PBE
Structure: optimized geometry

Lattice parameters (Å, degrees): 4.7329 4.7329 4.7329 60.00 60.00 60.00
Fractional positions:
Ni (0.0000, 0.0000, 0.0000)
Nb (0.5000, 0.5000, 0.5000)
Na (0.2500, 0.2500, 0.2500)
Na (0.7500, 0.7500, 0.7500)

Summary:
The value obtained for the formation enthalpy at 0 K is 1.345 eV per atom. As for the calculated volume: 18.7 A^3/atom. The total energy comes out at -3.277 eV/atom. As for the total magnetization: 0.00 μB per atom. As for the space group: Fm-3m.

---

# 12
Compound: NaNb3Ni
Source: Alexandria
Functional: PBE
Structure: optimized geometry

Lattice parameters (Å, degrees): 4.7297 4.7297 4.7297 90.00 90.00 90.00
Fractional positions:
Ni (0.0000, 0.0000, 0.0000)
Nb (0.0000, 0.5000, 0.0000)
Nb (0.0000, 0.0000, 0.5000)
Nb (0.5000, 0.0000, 0.0000)
Na (0.5000, 0.5000, 0.5000)

Summary:
The value obtained for the formation enthalpy at 0 K is 1.038 eV per atom. As for the calculated volume: 21.2 A^3/atom. The total energy comes out at -6.424 eV/atom. As for the total magnetization: 0.00 μB per atom. As for the space group: Pm-3m.

---

# 13
Compound: NaNbNi3
Source: Alexandria
Functional: PBE
Structure: optimized geometry

Lattice parameters (Å, degrees): 4.6382 4.6382 4.6382 90.00 90.00 90.00
Fractional positions:
Ni (0.0000, 0.5000, 0.0000)
Ni (0.0000, 0.0000, 0.5000)
Ni (0.5000, 0.0000, 0.0000)
Nb (0.0000, 0.0000, 0.0000)
Na (0.5000, 0.5000, 0.5000)

Summary:
The value obtained for the formation enthalpy at 0 K is 0.989 eV per atom. As for the calculated volume: 20.0 A^3/atom. The total energy comes out at -4.758 eV/atom. As for the total magnetization: 0.00 μB per atom. As for the space group: Pm-3m.

---

# 14
Compound: Na2NbNi
Source: Alexandria
Functional: PBE
Structure: optimized geometry

Lattice parameters (Å, degrees): 8.4682 8.4682 6.4716 49.14 49.14 90.00
Fractional positions:
Ni (0.5000, 0.5000, 0.0000)
Ni (0.2500, 0.7500, 0.5000)
Nb (0.0000, 0.0000, 0.0000)
Nb (0.7500, 0.2500, 0.5000)
Na (0.5640, 0.1250, 0.2500)
Na (0.1860, 0.6250, 0.2500)
Na (0.3750, 0.4360, 0.7500)
Na (0.8750, 0.8140, 0.7500)

Summary:
The value obtained for the formation enthalpy at 0 K is 1.094 eV per atom. As for the calculated volume: 22.0 A^3/atom. The total energy comes out at -3.529 eV/atom. As for the total magnetization: 0.54 μB per atom. As for the space group: I-42d.